No. 1
A geometry-optimized Cd2CuSe structure. Source: Alexandria via LeMat-Bulk, functional GGA-PBEsol.

Values from the calculation:
- D(E_F): 3.652 states/eV per cell
- V: 18.9 A^3/atom
- Spin magnetization: 0.00 μB/cell
- Calculated total energy: -2.532 eV per atom
- Uncorrected formation energy: 113 meV/atom

Cell and atoms, written as CIF:
```
data_Cd2CuSe
_symmetry_space_group_name_H-M 'C m m m'
_symmetry_Int_Tables_number 65
_symmetry_space_group_name_Hall '-C 2 2'
_cell_length_a 5.4813
_cell_length_b 7.6484
_cell_length_c 3.6029
_cell_angle_alpha 90.00
_cell_angle_beta 90.00
_cell_angle_gamma 90.00
loop_
_atom_site_label
_atom_site_fract_x
_atom_site_fract_y
_atom_site_fract_z
Cd1 0.2500 0.2500 0.0000
Cu1 0.0000 0.0000 0.5000
Se1 0.0000 0.5000 0.5000
```

=====

No. 2
A geometry-optimized CdCuSe2 structure. Source: Alexandria via LeMat-Bulk, functional GGA-PBEsol.

Values from the calculation:
- D(E_F): 11.173 states/eV per cell
- V: 23.6 A^3/atom
- Spin magnetization: 0.00 μB/cell
- Calculated total energy: -3.592 eV per atom
- Uncorrected formation energy: -284 meV/atom

Cell and atoms, written as CIF:
```
data_CdCuSe2
_symmetry_space_group_name_H-M 'I -4 2 d'
_symmetry_Int_Tables_number 122
_symmetry_space_group_name_Hall 'I -4 2bw'
_cell_length_a 5.7751
_cell_length_b 5.7751
_cell_length_c 11.3078
_cell_angle_alpha 90.00
_cell_angle_beta 90.00
_cell_angle_gamma 90.00
loop_
_atom_site_label
_atom_site_fract_x
_atom_site_fract_y
_atom_site_fract_z
Cd1 0.0000 0.0000 0.0000
Cu1 0.0000 0.0000 0.5000
Se1 0.2090 0.2500 0.6250
```